# 1
Here is Li3Ni8O16 after structural relaxation from the Alexandria database. Energies are from GGA-PBEsol.

abc: 4.9018 6.4294 8.5149
angles: 95.18 95.59 97.33
Closest atoms and distances in Å follow each position.
Atoms (fractional coordinates):
Li (0.0000, 0.0000, 0.0000)  6 O 2.07-2.18
Li (0.4964, 0.3583, 0.6414)  6 O 2.05-2.27
Li (0.5036, 0.6417, 0.3586)  6 O 2.05-2.27
Ni (0.2471, 0.9330, 0.5616)  6 O 1.87-1.92
Ni (0.2491, 0.6846, 0.8106)  6 O 1.85-2.03
Ni (0.2500, 0.4383, 0.0620)  6 O 1.85-1.89
Ni (0.2508, 0.1873, 0.3121)  6 O 1.85-1.89
Ni (0.7492, 0.8127, 0.6879)  6 O 1.85-1.89
Ni (0.7500, 0.5617, 0.9380)  6 O 1.85-1.89
Ni (0.7509, 0.3154, 0.1894)  6 O 1.85-2.03
Ni (0.7529, 0.0670, 0.4384)  6 O 1.87-1.92
O (0.1109, 0.9293, 0.7616)  3 Ni 1.86-1.89
O (0.1115, 0.6872, 0.0075)  3 Ni 1.87-1.89
O (0.1276, 0.1863, 0.5135)  3 Ni 1.87-1.92
O (0.1462, 0.4446, 0.2659)  3 Ni 1.85-2.03, 1 Li 2.07
O (0.3582, 0.1832, 0.1096)  3 Ni 1.85-2.03
O (0.3864, 0.9364, 0.3648)  3 Ni 1.87-1.90, 1 Li 2.05
O (0.3872, 0.4411, 0.8620)  3 Ni 1.85-1.89, 1 Li 2.05
O (0.3916, 0.6844, 0.6110)  3 Ni 1.87-1.90
O (0.6084, 0.3156, 0.3890)  3 Ni 1.87-1.90
O (0.6128, 0.5589, 0.1380)  3 Ni 1.85-1.89, 1 Li 2.05
O (0.6136, 0.0636, 0.6352)  3 Ni 1.87-1.90, 1 Li 2.05
O (0.6418, 0.8168, 0.8904)  3 Ni 1.85-2.03
O (0.8538, 0.5554, 0.7341)  3 Ni 1.85-2.03, 1 Li 2.07
O (0.8724, 0.8137, 0.4865)  3 Ni 1.87-1.92
O (0.8885, 0.3128, 0.9925)  3 Ni 1.87-1.89
O (0.8891, 0.0707, 0.2384)  3 Ni 1.86-1.89

Calculated values
- uncorrected formation energy (meV per atom) = -1009
- mass density (g/cm3) = 4.70



# 2
Here is Ti3CoCu2P6O24 after structural relaxation from the Alexandria database. Energies are from GGA-PBEsol.

abc: 8.4454 8.4454 8.4454
angles: 60.81 60.81 60.81
Closest atoms and distances in Å follow each position.
Atoms (fractional coordinates):
Ti (0.0000, 0.0000, 0.0000)  6 O 1.88-1.99
Ti (0.2161, 0.2161, 0.2161)  6 O 1.89-2.00
Ti (0.7152, 0.7152, 0.7152)  6 O 1.88-2.01
Co (0.4993, 0.4993, 0.4993)  6 O 1.91-2.03
Cu (0.3590, 0.3590, 0.3590)  6 O 2.13-2.19
Cu (0.8584, 0.8584, 0.8584)  6 O 2.19
P (0.1093, 0.8130, 0.4008)  4 O 1.53-1.55
P (0.3153, 0.6055, 0.8977)  4 O 1.51-1.56
P (0.4008, 0.1093, 0.8130)  4 O 1.53-1.55
P (0.6055, 0.8977, 0.3153)  4 O 1.51-1.56
P (0.8130, 0.4008, 0.1093)  4 O 1.53-1.55
P (0.8977, 0.3153, 0.6055)  4 O 1.51-1.56
O (0.0347, 0.8670, 0.2411)  1 P 1.54
O (0.0943, 0.3074, 0.4412)  1 P 1.56
O (0.1177, 0.7674, 0.9239)  1 P 1.55
O (0.1716, 0.9784, 0.3561)  1 P 1.54
O (0.2411, 0.0347, 0.8670)  1 P 1.54
O (0.2720, 0.6204, 0.4056)  1 P 1.53
O (0.3074, 0.4412, 0.0943)  1 P 1.56
O (0.3483, 0.5447, 0.7400)  1 P 1.51
O (0.3561, 0.1716, 0.9784)  1 P 1.54
O (0.4056, 0.2720, 0.6204)  1 P 1.53
O (0.4412, 0.0943, 0.3074)  1 P 1.56
O (0.4776, 0.6736, 0.8514)  1 P 1.55
O (0.5447, 0.7400, 0.3483)  1 P 1.51
O (0.5976, 0.9469, 0.7978)  1 P 1.55
O (0.6204, 0.4056, 0.2720)  1 P 1.53
O (0.6736, 0.8514, 0.4776)  1 P 1.55
O (0.7400, 0.3483, 0.5447)  1 P 1.51
O (0.7674, 0.9239, 0.1177)  1 P 1.55
O (0.7978, 0.5976, 0.9469)  1 P 1.55
O (0.8514, 0.4776, 0.6736)  1 P 1.55
O (0.8670, 0.2411, 0.0347)  1 P 1.54
O (0.9239, 0.1177, 0.7674)  1 P 1.55
O (0.9469, 0.7978, 0.5976)  1 P 1.55
O (0.9784, 0.3561, 0.1716)  1 P 1.54

Calculated values
- uncorrected formation energy (meV per atom) = -2154
- mass density (g/cm3) = 3.44



# 3
Here is TiCuRu3 after structural relaxation from the Alexandria database. Energies are from GGA-PBEsol.

abc: 4.3378 4.3378 4.3378
angles: 90.00 90.00 90.00
Closest atoms and distances in Å follow each position.
Atoms (fractional coordinates):
Ti (0.0000, 0.0000, 0.0000)  12 Ru 3.07
Cu (0.5000, 0.5000, 0.5000)  6 Ru 2.17
Ru (0.0000, 0.5000, 0.5000)  2 Cu 2.17
Ru (0.5000, 0.0000, 0.5000)  2 Cu 2.17
Ru (0.5000, 0.5000, 0.0000)  2 Cu 2.17

Calculated values
- DFT formation energy (meV/atom) = 1394
- mass density (g/cm3) = 8.43



# 4
Here is VBiPb2O6 after structural relaxation from the Alexandria database. Energies are from GGA-PBEsol.

abc: 11.3169 6.0264 9.4503
angles: 90.00 90.00 90.00
Closest atoms and distances in Å follow each position.
Atoms (fractional coordinates):
V (0.1696, 0.2500, 0.0134)  4 O 1.71-1.73
V (0.3304, 0.7500, 0.5134)  4 O 1.71-1.73
V (0.6696, 0.2500, 0.4866)  4 O 1.71-1.73
V (0.8304, 0.7500, 0.9866)  4 O 1.71-1.73
Bi (0.0937, 0.2500, 0.4767)  6 O 2.30-2.52
Bi (0.4063, 0.7500, 0.9767)  6 O 2.30-2.52
Bi (0.5937, 0.2500, 0.0233)  6 O 2.30-2.52
Bi (0.9063, 0.7500, 0.5233)  6 O 2.30-2.52
Pb (0.1094, 0.7500, 0.8120)  6 O 2.48-2.63
Pb (0.1120, 0.7500, 0.2351)  3 O 2.30-2.41
Pb (0.3880, 0.2500, 0.7351)  3 O 2.30-2.41
Pb (0.3906, 0.2500, 0.3120)  6 O 2.48-2.63
Pb (0.6094, 0.7500, 0.6880)  6 O 2.48-2.63
Pb (0.6120, 0.7500, 0.2649)  3 O 2.30-2.41
Pb (0.8880, 0.2500, 0.7649)  3 O 2.30-2.41
Pb (0.8906, 0.2500, 0.1880)  6 O 2.48-2.63
O (0.0126, 0.0123, 0.6464)  2 Pb 2.30-2.48, 2 Bi 2.30-2.34
O (0.0126, 0.4877, 0.6464)  2 Pb 2.30-2.48, 2 Bi 2.30-2.34
O (0.0233, 0.2500, 0.9619)  1 V 1.73
O (0.1797, 0.2500, 0.1943)  1 V 1.71
O (0.2393, 0.0217, 0.9435)  1 V 1.72
O (0.2393, 0.4783, 0.9435)  1 V 1.72
O (0.2607, 0.5217, 0.4435)  1 V 1.72
O (0.2607, 0.9783, 0.4435)  1 V 1.72
O (0.3203, 0.7500, 0.6943)  1 V 1.71
O (0.4767, 0.7500, 0.4619)  1 V 1.73
O (0.4874, 0.5123, 0.1464)  2 Pb 2.30-2.48, 2 Bi 2.30-2.34
O (0.4874, 0.9877, 0.1464)  2 Pb 2.30-2.48, 2 Bi 2.30-2.34
O (0.5126, 0.0123, 0.8536)  2 Pb 2.30-2.48, 2 Bi 2.30-2.34
O (0.5126, 0.4877, 0.8536)  2 Pb 2.30-2.48, 2 Bi 2.30-2.34
O (0.5233, 0.2500, 0.5381)  1 V 1.73
O (0.6797, 0.2500, 0.3057)  1 V 1.71
O (0.7393, 0.0217, 0.5565)  1 V 1.72
O (0.7393, 0.4783, 0.5565)  1 V 1.72
O (0.7607, 0.5217, 0.0565)  1 V 1.72
O (0.7607, 0.9783, 0.0565)  1 V 1.72
O (0.8203, 0.7500, 0.8057)  1 V 1.71
O (0.9767, 0.7500, 0.0381)  1 V 1.73
O (0.9874, 0.5123, 0.3536)  2 Pb 2.30-2.48, 2 Bi 2.30-2.34
O (0.9874, 0.9877, 0.3536)  2 Pb 2.30-2.48, 2 Bi 2.30-2.34

Calculated values
- uncorrected formation energy (meV per atom) = -1651
- mass density (g/cm3) = 7.94



# 5
Here is Ta2AlSi after structural relaxation from the Alexandria database. Energies are from GGA-PBEsol.

abc: 3.9590 3.9590 7.9796
angles: 90.00 90.00 90.00
Closest atoms and distances in Å follow each position.
Atoms (fractional coordinates):
Ta (0.0000, 0.5000, 0.2500)  4 Ta 2.80, 4 Al 2.81, 4 Si 2.81
Ta (0.0000, 0.5000, 0.7500)  4 Ta 2.80, 4 Al 2.81, 4 Si 2.81
Ta (0.5000, 0.0000, 0.2500)  4 Ta 2.80, 4 Al 2.81, 4 Si 2.81
Ta (0.5000, 0.0000, 0.7500)  4 Ta 2.80, 4 Al 2.81, 4 Si 2.81
Al (0.0000, 0.0000, 0.0000)  4 Si 2.80, 8 Ta 2.81
Al (0.5000, 0.5000, 0.5000)  4 Si 2.80, 8 Ta 2.81
Si (0.0000, 0.0000, 0.5000)  4 Al 2.80, 8 Ta 2.81
Si (0.5000, 0.5000, 0.0000)  4 Al 2.80, 8 Ta 2.81

Calculated values
- uncorrected formation energy (meV per atom) = -202
- energy above the most stable polymorph in this dataset (eV per formula unit) = 0.173
- mass density (g/cm3) = 11.07



# 6
Here is Ca3WO after structural relaxation from the Alexandria database. Energies are from GGA-PBEsol.

abc: 5.2361 5.2361 5.2361
angles: 90.00 90.00 90.00
Closest atoms and distances in Å follow each position.
Atoms (fractional coordinates):
Ca (0.0000, 0.0000, 0.5000)  2 W 2.62
Ca (0.0000, 0.5000, 0.0000)  2 W 2.62
Ca (0.5000, 0.0000, 0.0000)  2 W 2.62
W (0.0000, 0.0000, 0.0000)  6 Ca 2.62
O (0.5000, 0.5000, 0.5000)  12 Ca 3.70

Calculated values
- uncorrected formation energy (meV per atom) = 1188
- energy above the most stable polymorph in this dataset (eV per formula unit) = 7.608
- mass density (g/cm3) = 3.70



# 7
Here is NaCr2Os after structural relaxation from the Alexandria database. Energies are from GGA-PBEsol.

abc: 6.0168 6.0168 6.0168
angles: 90.00 90.00 90.00
Closest atoms and distances in Å follow each position.
Atoms (fractional coordinates):
Na (0.0000, 0.0000, 0.0000)  8 Cr 2.61
Na (0.0000, 0.5000, 0.5000)  8 Cr 2.61
Na (0.5000, 0.0000, 0.5000)  8 Cr 2.61
Na (0.5000, 0.5000, 0.0000)  8 Cr 2.61
Cr (0.2500, 0.2500, 0.2500)  4 Na 2.61, 4 Os 2.61
Cr (0.2500, 0.2500, 0.7500)  4 Na 2.61, 4 Os 2.61
Cr (0.2500, 0.7500, 0.2500)  4 Na 2.61, 4 Os 2.61
Cr (0.2500, 0.7500, 0.7500)  4 Na 2.61, 4 Os 2.61
Cr (0.7500, 0.2500, 0.2500)  4 Na 2.61, 4 Os 2.61
Cr (0.7500, 0.2500, 0.7500)  4 Na 2.61, 4 Os 2.61
Cr (0.7500, 0.7500, 0.2500)  4 Na 2.61, 4 Os 2.61
Cr (0.7500, 0.7500, 0.7500)  4 Os 2.61, 4 Na 2.61
Os (0.0000, 0.0000, 0.5000)  8 Cr 2.61
Os (0.0000, 0.5000, 0.0000)  8 Cr 2.61
Os (0.5000, 0.0000, 0.0000)  8 Cr 2.61
Os (0.5000, 0.5000, 0.5000)  8 Cr 2.61

Calculated values
- DFT formation energy (meV/atom) = 891
- mass density (g/cm3) = 9.67



# 8
Here is YRh2Se after structural relaxation from the Alexandria database. Energies are from GGA-PBEsol.

abc: 3.2949 4.2894 5.0935
angles: 90.00 101.02 90.00
Closest atoms and distances in Å follow each position.
Atoms (fractional coordinates):
Y (0.0000, 0.0000, 0.0000)  2 Se 2.76, 4 Rh 2.94
Rh (0.3738, 0.5000, 0.7322)  2 Se 2.52, 2 Rh 2.65-2.70
Rh (0.6262, 0.5000, 0.2678)  2 Se 2.52, 2 Rh 2.65-2.70
Se (0.5000, 0.0000, 0.5000)  4 Rh 2.52, 2 Y 2.76

Calculated values
- uncorrected formation energy (meV per atom) = -495
- mass density (g/cm3) = 8.78



no.,E_tot (eV per atom)
1,-6.162
2,-7.768
3,-7.241
4,-6.992
5,-8.937
6,-3.904
7,-7.634
8,-7.232